This record from the Open Quantum Materials Database describes a relaxed structure of ErGeW. The functional is PBE.

Cell lengths 4.4744, 4.4744, 4.4744 Å; angles 60.00, 60.00, 60.00 degrees
Positions (direct):
Er 0.2500 0.2500 0.2500
Ge 0.0000 0.0000 0.0000
W 0.7500 0.7500 0.7500

Values from the calculation:
Symmetry   F-43m (216)
Uncorrected energy   -7.10 eV per atom

This record from the Open Quantum Materials Database describes a relaxed structure of NaScPdPb. The functional is PBE.

Cell lengths 4.8339, 4.8339, 4.8339 Å; angles 60.00, 60.00, 60.00 degrees
Positions (direct):
Na 0.7500 0.7500 0.7500
Pb 0.5000 0.5000 0.5000
Pd 0.2500 0.2500 0.2500
Sc 0.0000 0.0000 0.0000

Values from the calculation:
Relative energy among the computed polymorphs   0.0 kJ per mole of atoms
Symmetry   F-43m (216)
Uncorrected energy   -4.50 eV per atom

This record from the Open Quantum Materials Database describes a relaxed structure of TaPPdO. The functional is PBE.

Cell lengths 3.6223, 5.9085, 6.1226 Å; angles 90.00, 90.00, 90.00 degrees
Positions (direct):
O 0.0000 0.2896 0.4225
O 0.0000 0.7104 0.9225
P 0.5000 0.7629 0.3304
P 0.5000 0.2371 0.8304
Pd 0.0000 0.2316 0.0680
Pd 0.0000 0.7684 0.5680
Ta 0.5000 0.1591 0.4331
Ta 0.5000 0.8409 0.9331

Values from the calculation:
Relative energy among the computed polymorphs   3.1 kJ per mole of atoms
Symmetry   Pmc2_1 (26)
Uncorrected energy   -7.79 eV per atom

This record from the Open Quantum Materials Database describes a relaxed structure of Mg4Sb4Pt5. The functional is PBE.

Cell lengths 14.9438, 14.9438, 14.9438 Å; angles 17.43, 17.43, 17.43 degrees
Positions (direct):
Mg 0.2506 0.2506 0.2506
Mg 0.5020 0.5020 0.5020
Mg 0.7523 0.7523 0.7523
Mg 0.9971 0.9971 0.9971
Pt 0.0631 0.0631 0.0631
Pt 0.1892 0.1892 0.1892
Pt 0.4392 0.4392 0.4392
Pt 0.6838 0.6838 0.6838
Pt 0.9367 0.9367 0.9367
Sb 0.1277 0.1277 0.1277
Sb 0.3733 0.3733 0.3733
Sb 0.6227 0.6227 0.6227
Sb 0.8749 0.8749 0.8749

Values from the calculation:
Symmetry   R3m (160)
Uncorrected energy   -4.72 eV per atom